i:
First-principles (PBE-GGA) data for crystalline La2TePb at its relaxed geometry, as listed in Alexandria via LeMat-Bulk.

POSCAR file:
```
La2TePb
1.0
-3.378 -3.210 0.071
-1.651 -1.727 -4.001
3.530 -7.129 -1.099
La Te Pb
2 1 1
Cartesian
-4.996 -4.972 -3.928 La
-0.782 -5.999 -2.515 La
-1.124 -9.050 -3.771 Te
-0.375 -3.017 -1.257 Pb
```

=====

ii:
First-principles (PBE-GGA) data for crystalline La2TePb at its relaxed geometry, as listed in Alexandria via LeMat-Bulk.

POSCAR file:
```
La2TePb
1.0
-2.590 0.696 -2.731
2.724 -0.340 -2.668
-1.625 -8.372 -0.594
La Te Pb
2 1 1
Cartesian
-1.604 -8.265 -0.586 La
-0.833 -4.293 -0.304 La
-1.152 -6.101 -3.145 Te
-0.339 -1.915 -2.848 Pb
```

=====

iii:
First-principles (PBE-GGA) data for crystalline La2TePb at its relaxed geometry, as listed in Alexandria via LeMat-Bulk.

POSCAR file:
```
La2TePb
1.0
0.000 3.995 3.995
3.995 0.000 3.995
3.995 3.995 0.000
La Te Pb
2 1 1
Cartesian
1.998 1.998 1.998 La
5.993 5.993 5.993 La
0.000 0.000 0.000 Te
3.995 3.995 3.995 Pb
```

=====

iv:
First-principles (PBE-GGA) data for crystalline La2TePb at its relaxed geometry, as listed in Alexandria via LeMat-Bulk.

POSCAR file:
```
La2TePb
1.0
-6.729 -0.268 -2.062
-1.411 -4.542 5.194
-5.764 3.556 6.319
La Pb Te
4 2 2
Cartesian
-11.456 -1.576 7.518 La
-3.114 -1.982 4.584 La
-5.873 0.152 0.925 La
-7.365 0.897 5.875 La
0.000 0.000 0.000 Pb
-8.282 0.441 2.911 Pb
-4.070 -2.405 1.566 Te
-5.623 -1.696 6.540 Te
```

=====

Which is most stable, and by how much? i, by 0.109 eV/atom.

=====

i:
First-principles (PBE-GGA) data for crystalline La2TePb2 at its relaxed geometry, as listed in Alexandria via LeMat-Bulk.

POSCAR file:
```
La2TePb2
1.0
-3.542 -2.241 1.318
1.574 -3.621 -1.926
3.093 -5.061 7.030
Pb La Te
2 2 1
Cartesian
-0.716 -5.116 4.022 Pb
1.842 -5.806 2.400 Pb
-0.159 -3.362 1.180 La
1.284 -7.560 5.241 La
0.000 0.000 0.000 Te
```

=====

ii:
First-principles (PBE-GGA) data for crystalline La2TePb2 at its relaxed geometry, as listed in Alexandria via LeMat-Bulk.

POSCAR file:
```
La2TePb2
1.0
8.677 0.000 0.000
0.000 8.677 0.000
0.000 0.000 4.442
Te Pb La
2 4 4
Cartesian
4.338 4.338 0.000 Te
0.000 0.000 0.000 Te
5.393 1.055 0.000 Pb
7.621 5.393 0.000 Pb
3.283 7.621 0.000 Pb
1.055 3.283 0.000 Pb
5.925 7.090 2.221 La
1.587 5.925 2.221 La
7.090 2.752 2.221 La
2.752 1.587 2.221 La
```

=====

iii:
First-principles (PBE-GGA) data for crystalline La2TePb2 at its relaxed geometry, as listed in Alexandria via LeMat-Bulk.

POSCAR file:
```
La2TePb2
1.0
-1.776 7.844 2.924
-7.684 -0.341 -3.753
-1.867 -1.912 3.996
Te Pb La
2 4 4
Cartesian
-4.730 3.752 -0.414 Te
0.000 0.000 0.000 Te
-8.773 3.639 0.534 Pb
-5.380 5.788 3.148 Pb
-2.553 1.952 2.633 Pb
-5.947 -0.197 0.019 Pb
-6.658 6.232 -0.128 La
-2.554 5.243 1.316 La
-2.802 1.271 -0.701 La
-6.906 2.260 -2.145 La
```

=====

Which is most stable, and by how much? iii, by 0.055 eV/atom.

=====

i:
First-principles (PBE-GGA) data for crystalline La2ThPb at its relaxed geometry, as listed in Alexandria via LeMat-Bulk.

POSCAR file:
```
La2ThPb
1.0
-3.228 1.116 -1.369
-1.763 -1.858 2.642
0.292 7.867 5.727
La Th Pb
2 1 1
Cartesian
0.071 1.915 1.394 La
0.221 5.952 4.333 La
-2.349 3.563 3.500 Th
-2.495 -0.371 0.636 Pb
```

=====

ii:
First-principles (PBE-GGA) data for crystalline La2ThPb at its relaxed geometry, as listed in Alexandria via LeMat-Bulk.

POSCAR file:
```
La2ThPb
1.0
5.693 0.000 0.000
2.847 4.930 0.000
2.847 1.643 4.649
La Pb Th
2 1 1
Cartesian
8.540 4.930 3.486 La
2.847 1.643 1.163 La
0.000 0.000 0.000 Pb
5.693 3.287 2.325 Th
```

=====

Which is most stable, and by how much? i, by 0.164 eV/atom.

=====

i:
First-principles (PBE-GGA) data for crystalline La2ThPb3 at its relaxed geometry, as listed in Alexandria via LeMat-Bulk.

POSCAR file:
```
La2ThPb3
1.0
3.654 0.000 0.000
0.000 3.654 0.000
0.000 0.000 13.927
Pb La Th
3 2 1
Cartesian
0.000 0.000 4.677 Pb
0.000 0.000 0.000 Pb
0.000 0.000 9.250 Pb
1.827 1.827 11.591 La
1.827 1.827 2.336 La
1.827 1.827 6.963 Th
```

=====

ii:
First-principles (PBE-GGA) data for crystalline La2ThPb3 at its relaxed geometry, as listed in Alexandria via LeMat-Bulk.

POSCAR file:
```
La2ThPb3
1.0
6.576 0.000 0.000
0.000 9.289 0.000
-3.288 -2.325 6.980
La Th Pb
4 2 6
Cartesian
0.001 2.320 4.625 La
3.289 -0.001 2.355 La
-0.001 6.965 4.625 La
3.288 4.644 2.355 La
0.002 2.322 0.000 Th
6.575 6.967 0.000 Th
3.287 6.964 4.724 Pb
-0.001 4.644 2.257 Pb
3.290 2.322 0.000 Pb
0.001 0.000 2.257 Pb
3.286 6.967 0.000 Pb
3.289 2.320 4.723 Pb
```

=====

Which is most stable, and by how much? i, by 0.094 eV/atom.